A plane-wave DFT calculation with PBE was carried out for crystalline Li2Ca2Bi2H at its relaxed geometry.

Calculated values
Density of states at the Fermi level   6.93 states/eV/cell
Total DFT energy (no corrections)   -23.34 eV per formula unit

CIF file:
```
data_Li2Ca2Bi2H
_cell_length_a 4.570
_cell_length_b 4.570
_cell_length_c 15.559
_cell_angle_alpha 90.00
_cell_angle_beta 90.00
_cell_angle_gamma 90.00
_symmetry_space_group_name_H-M 'I 4/m m m'
_symmetry_Int_Tables_number 139
_symmetry_space_group_name_Hall '-I 4 2'
loop_
_atom_site_label
_atom_site_type_symbol
_atom_site_fract_x
_atom_site_fract_y
_atom_site_fract_z
Li1 Li 0.000 0.500 0.000
Ca1 Ca 0.000 0.000 0.157
Bi1 Bi 0.000 0.000 0.373
H1 H 0.000 0.000 0.000
```

A plane-wave DFT calculation with PBE was carried out for crystalline CaMgBiH at its relaxed geometry.

Calculated values
Density of states at the Fermi level   0.86 states/eV/cell
Total DFT energy (no corrections)   -12.89 eV per formula unit

CIF file:
```
data_CaMgBiH
_cell_length_a 4.445
_cell_length_b 4.445
_cell_length_c 9.007
_cell_angle_alpha 90.00
_cell_angle_beta 90.00
_cell_angle_gamma 90.00
_symmetry_space_group_name_H-M 'P 4/n m m'
_symmetry_Int_Tables_number 129
loop_
_symmetry_equiv_pos_as_xyz
'x,y,z'
'-x,-y,-z'
'-y+1/2,x,z'
'y+1/2,-x,-z'
'-x+1/2,-y+1/2,z'
'x+1/2,y+1/2,-z'
'y,-x+1/2,z'
'-y,x+1/2,-z'
'x+1/2,-y,-z'
'-x+1/2,y,z'
'-y,-x,-z'
'y,x,z'
'-x,y+1/2,-z'
'x,-y+1/2,z'
'y+1/2,x+1/2,-z'
'-y+1/2,-x+1/2,z'
loop_
_atom_site_label
_atom_site_type_symbol
_atom_site_fract_x
_atom_site_fract_y
_atom_site_fract_z
Ca1 Ca 0.250 0.250 0.111
Mg1 Mg 0.250 0.750 0.500
Bi1 Bi 0.250 0.250 0.716
H1 H 0.250 0.750 0.000
```